! Li2U3S8 PBE optimized geometry; values from VASP
! crystal system: monoclinic
! size of the total moment: 4.0 Bohr magnetons per cell
! formation energy (no corrections): -16.468 eV per formula unit
! calculated total energy: -6.706 eV per atom
&SYSTEM
  ibrav = 0, nat = 13, ntyp = 3
/
ATOMIC_SPECIES
Li 6.94 Li.upf
U 238.03 U.upf
S 32.06 S.upf
CELL_PARAMETERS angstrom
-6.6381 0.3486 -1.8185
2.0470 3.7958 -6.7445
1.8270 -7.3414 1.1738
ATOMIC_POSITIONS angstrom
Li -2.1253 0.3149 -5.2188
Li -0.6388 -3.5118 -2.1703
U -3.3191 0.1743 -0.9092
U 1.5215 2.8214 -5.0133
U 0.5254 0.9743 -1.7312
S -2.9892 -3.8731 -3.0870
S 0.2251 0.6762 -4.3021
S -1.7902 -2.0170 -6.4295
S -0.9739 -1.1800 -0.9597
S -3.9010 -0.0573 -3.4512
S -2.8170 1.9528 -7.0229
S 0.0528 -5.1498 -0.3663
S 1.1368 -3.1397 -3.9379



! LiU5S8 PBE optimized geometry; values from VASP
! crystal system: tetragonal
! size of the total moment: 14.8 Bohr magnetons per cell
! formation energy (no corrections): -19.708 eV per formula unit
! calculated total energy: -7.934 eV per atom
&SYSTEM
  ibrav = 0, nat = 14, ntyp = 3
/
ATOMIC_SPECIES
Li 6.94 Li.upf
U 238.03 U.upf
S 32.06 S.upf
CELL_PARAMETERS angstrom
6.7515 0.0000 -2.2757
-3.3903 5.7784 -2.4245
0.0291 0.0000 7.1247
ATOMIC_POSITIONS angstrom
Li 0.0146 2.8892 3.5623
U -1.2280 2.1412 0.0029
U 2.9268 5.0617 -2.3785
U 2.9961 3.6372 1.2615
U 3.3903 0.0000 2.4245
U 2.0857 0.7167 5.9630
S -1.6210 4.3061 -1.9168
S 6.2262 0.6162 2.6425
S 4.3262 1.4148 0.2514
S 2.9763 2.3120 3.8678
S 1.2319 3.4664 -0.8584
S 1.1231 5.1622 2.6131
S 1.0524 1.4723 1.5101
S -1.7538 4.3636 1.5881



! LiUS3 PBE optimized geometry; values from VASP
! crystal system: hexagonal
! distance to the lowest polymorph of the same formula: 44 meV/atom
! size of the total moment: 2.0 Bohr magnetons per cell
! formation energy (no corrections): -5.953 eV per formula unit
! calculated total energy: -6.308 eV per atom
&SYSTEM
  ibrav = 0, nat = 10, ntyp = 3
/
ATOMIC_SPECIES
Li 6.94 Li.upf
U 238.03 U.upf
S 32.06 S.upf
CELL_PARAMETERS angstrom
6.8790 0.0000 0.0000
0.0000 6.5518 0.0000
0.0000 -3.2759 5.6740
ATOMIC_POSITIONS angstrom
Li 3.4395 3.2759 1.8913
Li 0.0000 3.2759 1.8913
U 0.0000 0.0000 0.0000
U 3.4395 0.0000 0.0000
S 5.1593 1.2038 1.5806
S 5.1593 4.0428 3.8412
S 5.1593 4.5811 0.2522
S 1.7198 2.5090 3.8412
S 1.7198 1.9707 0.2522
S 1.7198 5.3480 1.5806



! LiU2S6 PBE optimized geometry; values from VASP
! crystal system: tetragonal
! size of the total moment: 2.0 Bohr magnetons per cell
! formation energy (no corrections): -10.025 eV per formula unit
! calculated total energy: -6.587 eV per atom
&SYSTEM
  ibrav = 0, nat = 18, ntyp = 3
/
ATOMIC_SPECIES
Li 6.94 Li.upf
U 238.03 U.upf
S 32.06 S.upf
CELL_PARAMETERS angstrom
-1.6570 5.4904 -2.3878
-5.9196 -1.1311 1.5069
1.6737 4.9951 10.3240
ATOMIC_POSITIONS angstrom
Li -3.7883 2.1796 -0.4404
Li 0.8368 2.4975 5.1620
U -3.2403 3.8151 2.9398
U -2.6626 5.5393 6.5033
U 0.2889 0.8621 1.7818
U 1.3848 4.1330 8.5422
S -5.0382 3.8965 1.1104
S -3.9250 7.2187 7.9769
S -4.3520 5.4830 4.5587
S -2.4450 4.2663 -1.6678
S -1.9613 5.8142 1.8321
S -1.4008 7.4870 5.2895
S -4.5021 1.8673 4.1536
S -3.9416 3.5401 7.6111
S -5.1316 0.0929 0.7869
S -1.5508 3.8713 4.8844
S -1.9778 2.1356 1.4662
S -0.8647 5.4579 8.3327



! Li2UV2S6 PBE optimized geometry; values from VASP
! crystal system: monoclinic
! size of the total moment: 6.0 Bohr magnetons per cell
! formation energy (no corrections): -13.102 eV per formula unit
! calculated total energy: -6.475 eV per atom
&SYSTEM
  ibrav = 0, nat = 11, ntyp = 4
/
ATOMIC_SPECIES
Li 6.94 Li.upf
U 238.03 U.upf
V 50.94 V.upf
S 32.06 S.upf
CELL_PARAMETERS angstrom
6.2476 -0.0565 0.0614
-3.1370 5.4032 0.0614
-1.0976 -1.8867 6.1155
ATOMIC_POSITIONS angstrom
Li 4.7031 0.8421 0.0614
Li -1.5925 4.5047 0.0614
U -0.5488 -0.9434 3.0577
V -0.5487 2.6348 3.1192
V 2.5616 0.8253 3.1192
S 1.4422 2.4790 4.5776
S -1.7059 0.9436 4.5002
S 0.5707 0.9810 1.6608
S 1.6634 -1.0166 4.5002
S 3.7188 2.5165 1.7382
S 0.3496 4.4766 1.7382



! Li3UV2S6 PBE optimized geometry; values from VASP
! crystal system: monoclinic
! size of the total moment: 7.0 Bohr magnetons per cell
! formation energy (no corrections): -14.763 eV per formula unit
! calculated total energy: -6.233 eV per atom
&SYSTEM
  ibrav = 0, nat = 12, ntyp = 4
/
ATOMIC_SPECIES
Li 6.94 Li.upf
U 238.03 U.upf
V 50.94 V.upf
S 32.06 S.upf
CELL_PARAMETERS angstrom
6.2807 -0.0001 -0.0033
-3.1389 5.4401 -0.0033
-1.0482 -1.8150 6.1338
ATOMIC_POSITIONS angstrom
Li -2.1069 3.6339 3.0636
Li 4.2005 -0.0089 3.0636
Li 1.0468 1.8125 3.0636
U 0.0000 0.0000 0.0000
V 0.0002 3.6271 -0.0033
V 3.1416 1.8129 -0.0033
S 3.2108 1.6887 4.6774
S 2.0252 3.5065 1.4590
S -1.1173 1.9363 1.4498
S -0.1420 3.6250 4.6774
S 0.0684 0.1184 4.6683
S 2.2355 -0.0001 1.4498



! Li4YU3S8 PBE optimized geometry; values from VASP
! crystal system: trigonal
! size of the total moment: 9.0 Bohr magnetons per cell
! formation energy (no corrections): -23.555 eV per formula unit
! calculated total energy: -6.535 eV per atom
&SYSTEM
  ibrav = 0, nat = 16, ntyp = 4
/
ATOMIC_SPECIES
Li 6.94 Li.upf
Y 88.91 Y.upf
U 238.03 U.upf
S 32.06 S.upf
CELL_PARAMETERS angstrom
-4.3574 5.9317 2.3858
-6.2505 -4.4807 -0.2755
6.1681 -2.1771 4.1321
ATOMIC_POSITIONS angstrom
Li -2.1787 2.9659 1.1929
Li 0.9053 1.8773 3.2590
Li 0.0000 0.0000 0.0000
Li 3.0840 -1.0886 2.0661
Y -3.1252 -2.2404 -0.1377
U -5.3039 0.7255 1.0552
U -2.2199 -0.3631 3.1212
U -0.0412 -3.3289 1.9283
S -5.8011 -1.9016 0.4107
S -2.7147 -2.9910 2.4783
S 0.4612 -0.6936 2.5666
S -7.9781 1.0620 1.6027
S 3.5383 -1.7881 4.6398
S -4.9010 -0.0326 3.6759
S -1.7251 2.2649 3.7642
S 1.3613 1.1755 5.8318



! Li4Y3US8 PBE optimized geometry; values from VASP
! crystal system: trigonal
! size of the total moment: 3.0 Bohr magnetons per cell
! formation energy (no corrections): -27.375 eV per formula unit
! calculated total energy: -6.171 eV per atom
&SYSTEM
  ibrav = 0, nat = 16, ntyp = 4
/
ATOMIC_SPECIES
Li 6.94 Li.upf
Y 88.91 Y.upf
U 238.03 U.upf
S 32.06 S.upf
CELL_PARAMETERS angstrom
-5.8791 4.9109 -1.5994
-4.4074 -5.9376 -2.0302
3.4601 0.1920 7.0151
ATOMIC_POSITIONS angstrom
Li -2.9396 2.4555 -0.7997
Li -1.2095 2.5515 2.7078
Li 0.0000 0.0000 0.0000
Li 1.7300 0.0960 3.5075
Y -5.1433 -0.5133 -1.8148
Y -3.4132 -0.4173 1.6927
Y -0.4737 -2.8728 2.4924
U -2.2037 -2.9688 -1.0151
S -4.7846 -3.2383 -1.9134
S -3.0572 -3.1425 1.5887
S -0.8336 -0.1528 2.5951
S -7.7287 -0.7791 -2.7143
S 0.9022 -0.0556 6.0998
S -5.9928 -0.6819 0.7903
S -3.7692 2.3079 1.7967
S -2.0418 2.4037 5.2988